DFT (GGA-PBE) results for InTc2Ag after structural relaxation.

Calculated values
Total magnetic moment: 0.000 Bohr magnetons per cell
VASP energy: -6.302 eV/atom
Energy of formation: 1.11 eV per formula unit
Calculated density: 10.16 g cm⁻³

Cell: 2.976 3.726 6.172 Å, 90.00 91.57 90.00°
Space group Pm (No. 6)
Unique sites:
In  0.000  0.000  0.000 x1
Tc  0.519  0.500  0.287 x1
Tc  0.974  0.000  0.465 x1
Ag  0.492  0.500  0.744 x1